*1*
LiRe2Ni | GGA-PBE | optimized geometry

Cell and atoms, written as POSCAR:
```
LiRe2Ni
1.0
3.0450 0.0000 0.0000
0.0000 3.0450 0.0000
0.0000 0.0000 5.6705
Li Re Ni
1 2 1
direct
0.0000 0.0000 0.0000
0.0000 0.0000 0.4851
0.5000 0.5000 0.7358
0.5000 0.5000 0.2015
```

Values from the calculation:
Symmetry: P4mm, No. 99
Total magnetization: 0.00 μB/f.u.

*2*
LiRe2Ni | GGA-PBE | optimized geometry

Cell and atoms, written as POSCAR:
```
LiRe2Ni
1.0
0.0000 2.9370 2.9370
2.9370 0.0000 2.9370
2.9370 2.9370 0.0000
Li Re Ni
1 2 1
direct
0.0000 0.0000 0.0000
0.2500 0.2500 0.2500
0.7500 0.7500 0.7500
0.5000 0.5000 0.5000
```

Values from the calculation:
Symmetry: Fm-3m, No. 225
Total magnetization: 0.00 μB/f.u.

Most stable structure among those shown: *1*.